Model 1:
The following is a PBE calculation of DyScPdAu after structural relaxation, from Alexandria.

a b c (Å): 4.532 3.596 10.546
angles (deg): 90.00 90.00 90.00
Space group Amm2 (No. 38)
One atom of each set of equivalent atoms:
Dy  0.000  0.000  0.000 x2
Sc  0.500  0.000  0.278 x2
Pd  0.500  0.000  0.552 x2
Au  0.000  0.000  0.727 x2

Model 2:
The following is a PBE calculation of DyScPdAu after structural relaxation, from Alexandria.

a b c (Å): 6.926 6.926 6.926
angles (deg): 90.00 90.00 90.00
Space group F-43m (No. 216)
One atom of each set of equivalent atoms:
Dy  0.000  0.000  0.000 x4
Sc  0.000  0.000  0.500 x4
Pd  0.250  0.250  0.750 x4
Au  0.250  0.250  0.250 x4

The structure with the most favorable energy is model 1; the runner-up is 23 meV/atom above it.

Model 1:
The following is a PBE calculation of Pm2DyAu3 after structural relaxation, from Alexandria.

a b c (Å): 5.173 15.625 3.646
angles (deg): 90.00 90.00 90.00
Space group Pmmn (No. 59, origin choice 2)
One atom of each set of equivalent atoms:
Pm  0.250  0.083  0.001 x4
Dy  0.250  0.750  0.999 x2
Au  0.250  0.250  0.501 x2
Au  0.250  0.591  0.500 x4

Model 2:
The following is a PBE calculation of Pm2DyAu3 after structural relaxation, from Alexandria.

a b c (Å): 3.640 3.640 11.105
angles (deg): 90.00 90.00 90.00
Space group P4/mmm (No. 123)
One atom of each set of equivalent atoms:
Pm  0.000  0.000  0.169 x2
Dy  0.000  0.000  0.500 x1
Au  0.500  0.500  0.000 x1
Au  0.500  0.500  0.344 x2

The structure with the most favorable energy is model 2; the runner-up is 6 meV/atom above it.

Model 1:
The following is a PBE calculation of PmDyAu after structural relaxation, from Alexandria.

a b c (Å): 4.9334 4.9334 3.9182
angles (deg): 90.00 90.00 120.00
Space group P3m1 (No. 156)
One atom of each set of equivalent atoms:
Pm  0.0000  0.0000  0.0000 x1
Dy  0.6667  0.3333  0.5335 x1
Au  0.3333  0.6667  0.3170 x1

Model 2:
The following is a PBE calculation of PmDyAu after structural relaxation, from Alexandria.

a b c (Å): 7.125 7.125 7.125
angles (deg): 90.00 90.00 90.00
Space group F-43m (No. 216)
One atom of each set of equivalent atoms:
Pm  0.000  0.000  0.000 x4
Dy  0.000  0.000  0.500 x4
Au  0.250  0.250  0.750 x4

Model 3:
The following is a PBE calculation of PmDyAu after structural relaxation, from Alexandria.

a b c (Å): 3.642 3.642 12.492
angles (deg): 90.00 90.00 90.00
Space group I4mm (No. 107)
One atom of each set of equivalent atoms:
Pm  0.000  0.000  0.000 x2
Dy  0.000  0.000  0.289 x2
Au  0.000  0.000  0.657 x2

Model 4:
The following is a PBE calculation of PmDyAu after structural relaxation, from Alexandria.

a b c (Å): 7.6294 7.6294 4.9648
angles (deg): 90.00 90.00 120.00
Space group P-62m (No. 189)
One atom of each set of equivalent atoms:
Pm  0.0000  0.5961  0.0000 x3
Dy  0.0000  0.2616  0.5000 x3
Au  0.0000  0.0000  0.0000 x1
Au  0.3333  0.6667  0.5000 x2

The structure with the most favorable energy is model 4; the runner-up is 49 meV/atom above it.

Model 1:
The following is a PBE calculation of PmDyAu after structural relaxation, from Alexandria.

a b c (Å): 7.108 5.064 9.183
angles (deg): 90.00 90.00 90.00
Space group Pnma (No. 62)
One atom of each set of equivalent atoms:
Pm  0.152  0.250  0.085 x4
Dy  0.008  0.250  0.675 x4
Au  0.231  0.250  0.404 x4

Model 2:
The following is a PBE calculation of PmDyAu after structural relaxation, from Alexandria.

a b c (Å): 3.875 6.715 7.221
angles (deg): 74.07 74.45 73.28
Space group P-1 (No. 2)
One atom of each set of equivalent atoms:
Pm  0.098  0.184  0.120 x2
Dy  0.344  0.249  0.563 x2
Au  0.364  0.580  0.192 x2

The structure with the most favorable energy is model 1; the runner-up is 33 meV/atom above it.

Model 1:
The following is a PBE calculation of Pm2DyAu4 after structural relaxation, from Alexandria.

a b c (Å): 5.318 5.318 15.057
angles (deg): 90.00 90.00 90.00
Space group I4/mmm (No. 139)
One atom of each set of equivalent atoms:
Pm  0.000  0.000  0.120 x4
Dy  0.000  0.000  0.500 x2
Au  0.000  0.000  0.314 x4
Au  0.000  0.500  0.000 x4

Model 2:
The following is a PBE calculation of Pm2DyAu4 after structural relaxation, from Alexandria.

a b c (Å): 5.263 5.263 13.042
angles (deg): 90.00 90.00 90.00
Space group I4/mmm (No. 139)
One atom of each set of equivalent atoms:
Pm  0.000  0.000  0.222 x4
Dy  0.000  0.000  0.500 x2
Au  0.000  0.500  0.116 x8

The structure with the most favorable energy is model 2; the runner-up is 376 meV/atom above it.

Model 1:
The following is a PBE calculation of PmDyPtAu after structural relaxation, from Alexandria.

a b c (Å): 4.646 3.836 10.800
angles (deg): 90.00 90.00 90.00
Space group Amm2 (No. 38)
One atom of each set of equivalent atoms:
Pm  0.000  0.000  0.000 x2
Dy  0.500  0.000  0.276 x2
Pt  0.000  0.000  0.729 x2
Au  0.500  0.000  0.554 x2

Model 2:
The following is a PBE calculation of PmDyPtAu after structural relaxation, from Alexandria.

a b c (Å): 7.187 7.187 7.187
angles (deg): 90.00 90.00 90.00
Space group F-43m (No. 216)
One atom of each set of equivalent atoms:
Pm  0.000  0.000  0.000 x4
Dy  0.000  0.000  0.500 x4
Pt  0.250  0.250  0.250 x4
Au  0.250  0.250  0.750 x4

The structure with the most favorable energy is model 1; the runner-up is 58 meV/atom above it.